1.
Computed, not measured: an optimized crystal structure of GdEr3Mn8 at the PBE-GGA level of DFT.

a b c (Å): 4.9968 4.9968 8.7036
angles (deg): 90.00 90.00 120.00
Closest atoms and distances in Å follow each position.
Fractional positions:
Gd (0.0000, 0.0000, 0.0000)  12 Mn 2.94-3.11, 4 Er 3.11-3.21
Er (0.0000, 0.0000, 0.3685)  12 Mn 2.94-3.08, 3 Er 3.10, 1 Gd 3.21
Er (0.6667, 0.3333, 0.5001)  12 Mn 2.94-3.08, 4 Er 3.10-3.20
Er (0.6667, 0.3333, 0.8672)  12 Mn 2.94-3.12, 3 Gd 3.11, 1 Er 3.20
Mn (0.1645, 0.3289, 0.6821)  6 Mn 2.47-2.63
Mn (0.1645, 0.8355, 0.6821)  6 Mn 2.47-2.63
Mn (0.3333, 0.6667, 0.4343)  6 Mn 2.60-2.61
Mn (0.3333, 0.6667, 0.9333)  6 Mn 2.63-2.65, 3 Er 2.94, 3 Gd 2.94
Mn (0.5026, 0.0052, 0.1864)  6 Mn 2.46-2.65
Mn (0.5026, 0.4974, 0.1864)  6 Mn 2.46-2.65
Mn (0.6711, 0.8355, 0.6821)  6 Mn 2.47-2.63
Mn (0.9948, 0.4974, 0.1864)  6 Mn 2.46-2.65

Summary:
The value obtained for the total moment is 0.22 μB per atom. The value obtained for the total DFT energy (no corrections) is -8.33 eV/atom. Its formation energy from the elements is 93 meV per atom. For the density, the calculation gives 9.7 g/cm3.

2.
Computed, not measured: an optimized crystal structure of GdErMn at the PBE-GGA level of DFT.

a b c (Å): 3.4635 3.4635 12.6276
angles (deg): 90.00 90.00 90.00
Closest atoms and distances in Å follow each position.
Fractional positions:
Gd (0.0000, 0.0000, 0.0000)  4 Mn 3.00
Gd (0.5000, 0.5000, 0.5000)  4 Mn 3.00
Er (0.0000, 0.0000, 0.2710)  4 Mn 2.97
Er (0.5000, 0.5000, 0.7710)  4 Mn 2.97
Mn (0.0000, 0.0000, 0.6376)  4 Er 2.97, 4 Gd 3.00
Mn (0.5000, 0.5000, 0.1376)  4 Er 2.97, 4 Gd 3.00

Summary:
The value obtained for the total moment is 1.54 μB per atom. The value obtained for the total DFT energy (no corrections) is -9.14 eV/atom. Its formation energy from the elements is 131 meV per atom. For the density, the calculation gives 8.3 g/cm3.

3.
Computed, not measured: an optimized crystal structure of GdEr3Mn at the PBE-GGA level of DFT.

a b c (Å): 5.2585 5.2585 5.2585
angles (deg): 90.00 90.00 90.00
Closest atoms and distances in Å follow each position.
Fractional positions:
Gd (0.0000, 0.0000, 0.0000)  12 Er 3.72
Er (0.0000, 0.5000, 0.5000)  2 Mn 2.63
Er (0.5000, 0.0000, 0.5000)  2 Mn 2.63
Er (0.5000, 0.5000, 0.0000)  2 Mn 2.63
Mn (0.5000, 0.5000, 0.5000)  6 Er 2.63

Summary:
The value obtained for the total moment is 1.37 μB per atom. The value obtained for the total DFT energy (no corrections) is -7.18 eV/atom. Its formation energy from the elements is 203 meV per atom. For the density, the calculation gives 8.2 g/cm3.

4.
Computed, not measured: an optimized crystal structure of GdErMnRu at the PBE-GGA level of DFT.

a b c (Å): 6.9283 6.9283 6.9283
angles (deg): 90.00 90.00 90.00
Closest atoms and distances in Å follow each position.
Fractional positions:
Gd (0.0000, 0.0000, 0.0000)  4 Mn 3.00, 4 Ru 3.00
Gd (0.0000, 0.5000, 0.5000)  4 Mn 3.00, 4 Ru 3.00
Gd (0.5000, 0.0000, 0.5000)  4 Mn 3.00, 4 Ru 3.00
Gd (0.5000, 0.5000, 0.0000)  4 Mn 3.00, 4 Ru 3.00
Er (0.0000, 0.0000, 0.5000)  4 Mn 3.00, 4 Ru 3.00
Er (0.0000, 0.5000, 0.0000)  4 Mn 3.00, 4 Ru 3.00
Er (0.5000, 0.0000, 0.0000)  4 Mn 3.00, 4 Ru 3.00
Er (0.5000, 0.5000, 0.5000)  4 Mn 3.00, 4 Ru 3.00
Mn (0.2500, 0.2500, 0.2500)  4 Er 3.00, 4 Gd 3.00
Mn (0.2500, 0.7500, 0.7500)  4 Gd 3.00, 4 Er 3.00
Mn (0.7500, 0.2500, 0.7500)  4 Gd 3.00, 4 Er 3.00
Mn (0.7500, 0.7500, 0.2500)  4 Gd 3.00, 4 Er 3.00
Ru (0.2500, 0.2500, 0.7500)  4 Gd 3.00, 4 Er 3.00
Ru (0.2500, 0.7500, 0.2500)  4 Gd 3.00, 4 Er 3.00
Ru (0.7500, 0.2500, 0.2500)  4 Gd 3.00, 4 Er 3.00
Ru (0.7500, 0.7500, 0.7500)  4 Gd 3.00, 4 Er 3.00

Summary:
The value obtained for the total moment is 0.87 μB per atom. The value obtained for the total DFT energy (no corrections) is -9.35 eV/atom. Its formation energy from the elements is -81 meV per atom. For the density, the calculation gives 9.6 g/cm3.

5.
Computed, not measured: an optimized crystal structure of GdErMnTc at the PBE-GGA level of DFT.

a b c (Å): 6.9498 6.9498 6.9498
angles (deg): 90.00 90.00 90.00
Closest atoms and distances in Å follow each position.
Fractional positions:
Gd (0.0000, 0.0000, 0.0000)  4 Tc 3.01, 4 Mn 3.01
Gd (0.0000, 0.5000, 0.5000)  4 Tc 3.01, 4 Mn 3.01
Gd (0.5000, 0.0000, 0.5000)  4 Tc 3.01, 4 Mn 3.01
Gd (0.5000, 0.5000, 0.0000)  4 Tc 3.01, 4 Mn 3.01
Er (0.0000, 0.0000, 0.5000)  4 Mn 3.01, 4 Tc 3.01
Er (0.0000, 0.5000, 0.0000)  4 Mn 3.01, 4 Tc 3.01
Er (0.5000, 0.0000, 0.0000)  4 Mn 3.01, 4 Tc 3.01
Er (0.5000, 0.5000, 0.5000)  4 Mn 3.01, 4 Tc 3.01
Mn (0.2500, 0.2500, 0.2500)  4 Gd 3.01, 4 Er 3.01
Mn (0.2500, 0.7500, 0.7500)  4 Gd 3.01, 4 Er 3.01
Mn (0.7500, 0.2500, 0.7500)  4 Gd 3.01, 4 Er 3.01
Mn (0.7500, 0.7500, 0.2500)  4 Gd 3.01, 4 Er 3.01
Tc (0.2500, 0.2500, 0.7500)  4 Er 3.01, 4 Gd 3.01
Tc (0.2500, 0.7500, 0.2500)  4 Er 3.01, 4 Gd 3.01
Tc (0.7500, 0.2500, 0.2500)  4 Er 3.01, 4 Gd 3.01
Tc (0.7500, 0.7500, 0.7500)  4 Gd 3.01, 4 Er 3.01

Summary:
The value obtained for the total moment is 0.80 μB per atom. The value obtained for the total DFT energy (no corrections) is -9.42 eV/atom. Its formation energy from the elements is 123 meV per atom. For the density, the calculation gives 9.4 g/cm3.

6.
Computed, not measured: an optimized crystal structure of GdErMnZn at the PBE-GGA level of DFT.

a b c (Å): 7.0861 7.0861 7.0861
angles (deg): 90.00 90.00 90.00
Closest atoms and distances in Å follow each position.
Fractional positions:
Gd (0.0000, 0.0000, 0.0000)  4 Zn 3.07, 4 Mn 3.07
Gd (0.0000, 0.5000, 0.5000)  4 Zn 3.07, 4 Mn 3.07
Gd (0.5000, 0.0000, 0.5000)  4 Zn 3.07, 4 Mn 3.07
Gd (0.5000, 0.5000, 0.0000)  4 Zn 3.07, 4 Mn 3.07
Er (0.0000, 0.0000, 0.5000)  4 Mn 3.07, 4 Zn 3.07
Er (0.0000, 0.5000, 0.0000)  4 Mn 3.07, 4 Zn 3.07
Er (0.5000, 0.0000, 0.0000)  4 Mn 3.07, 4 Zn 3.07
Er (0.5000, 0.5000, 0.5000)  4 Mn 3.07, 4 Zn 3.07
Mn (0.2500, 0.2500, 0.7500)  4 Gd 3.07, 4 Er 3.07
Mn (0.2500, 0.7500, 0.2500)  4 Gd 3.07, 4 Er 3.07
Mn (0.7500, 0.2500, 0.2500)  4 Gd 3.07, 4 Er 3.07
Mn (0.7500, 0.7500, 0.7500)  4 Gd 3.07, 4 Er 3.07
Zn (0.2500, 0.2500, 0.2500)  4 Gd 3.07, 4 Er 3.07
Zn (0.2500, 0.7500, 0.7500)  4 Gd 3.07, 4 Er 3.07
Zn (0.7500, 0.2500, 0.7500)  4 Gd 3.07, 4 Er 3.07
Zn (0.7500, 0.7500, 0.2500)  4 Gd 3.07, 4 Er 3.07

Summary:
The value obtained for the total moment is 1.05 μB per atom. The value obtained for the total DFT energy (no corrections) is -7.33 eV/atom. Its formation energy from the elements is -58 meV per atom. For the density, the calculation gives 8.3 g/cm3.

7.
Computed, not measured: an optimized crystal structure of Gd2ErN at the PBE-GGA level of DFT.

a b c (Å): 3.4920 3.4920 28.4103
angles (deg): 90.00 90.00 120.00
Closest atoms and distances in Å follow each position.
Fractional positions:
Gd (0.0000, 0.0000, 0.1190)  3 N 2.43
Gd (0.0000, 0.0000, 0.8810)  3 N 2.43
Gd (0.3333, 0.6667, 0.5476)  3 N 2.43
Gd (0.3333, 0.6667, 0.7857)  3 N 2.43
Gd (0.6667, 0.3333, 0.2143)  3 N 2.43
Gd (0.6667, 0.3333, 0.4524)  3 N 2.43
Er (0.0000, 0.0000, 0.0000)  2 Gd 3.38, 6 Er 3.49
Er (0.3333, 0.6667, 0.6667)  2 Gd 3.38, 6 Er 3.49
Er (0.6667, 0.3333, 0.3333)  2 Gd 3.38, 6 Er 3.49
N (0.0000, 0.0000, 0.5000)  6 Gd 2.43
N (0.3333, 0.6667, 0.1667)  6 Gd 2.43
N (0.6667, 0.3333, 0.8333)  6 Gd 2.43

Summary:
The value obtained for the total moment is 3.84 μB per atom. The value obtained for the total DFT energy (no corrections) is -10.90 eV/atom. For the density, the calculation gives 8.2 g/cm3.

8.
Computed, not measured: an optimized crystal structure of GdEr3N at the PBE-GGA level of DFT.

a b c (Å): 4.9185 4.9185 4.9185
angles (deg): 90.00 90.00 90.00
Closest atoms and distances in Å follow each position.
Fractional positions:
Gd (0.0000, 0.0000, 0.0000)  12 Er 3.48
Er (0.0000, 0.5000, 0.5000)  2 N 2.46
Er (0.5000, 0.0000, 0.5000)  2 N 2.46
Er (0.5000, 0.5000, 0.0000)  2 N 2.46
N (0.5000, 0.5000, 0.5000)  6 Er 2.46

Summary:
The value obtained for the total moment is 1.73 μB per atom. The value obtained for the total DFT energy (no corrections) is -7.75 eV/atom. For the density, the calculation gives 9.4 g/cm3.

9.
Computed, not measured: an optimized crystal structure of Gd3ErN at the PBE-GGA level of DFT.

a b c (Å): 5.0064 5.0064 5.0064
angles (deg): 90.00 90.00 90.00
Closest atoms and distances in Å follow each position.
Fractional positions:
Gd (0.0000, 0.0000, 0.5000)  2 N 2.50
Gd (0.0000, 0.5000, 0.0000)  2 N 2.50
Gd (0.5000, 0.0000, 0.0000)  2 N 2.50
Er (0.5000, 0.5000, 0.5000)  12 Gd 3.54
N (0.0000, 0.0000, 0.0000)  6 Gd 2.50

Summary:
The value obtained for the total moment is 4.52 μB per atom. The value obtained for the total DFT energy (no corrections) is -11.54 eV/atom. For the density, the calculation gives 8.6 g/cm3.

10.
Computed, not measured: an optimized crystal structure of NaGdEr2 at the PBE-GGA level of DFT.

a b c (Å): 3.5168 3.5168 10.4649
angles (deg): 90.00 90.00 90.00
Closest atoms and distances in Å follow each position.
Fractional positions:
Na (0.0000, 0.0000, 0.0000)  4 Na 3.52, 8 Er 3.76
Gd (0.0000, 0.0000, 0.5000)  8 Er 3.47, 4 Gd 3.52
Er (0.5000, 0.5000, 0.2692)  4 Gd 3.47, 4 Er 3.52, 4 Na 3.76
Er (0.5000, 0.5000, 0.7308)  4 Gd 3.47, 4 Er 3.52, 4 Na 3.76

Summary:
The value obtained for the total moment is 1.79 μB per atom. The energy above the most stable polymorph in this dataset is 0.000 eV/atom. The value obtained for the total DFT energy (no corrections) is -5.98 eV/atom. Its formation energy from the elements is 155 meV per atom. For the density, the calculation gives 6.6 g/cm3.